[1]
Entry from the Open Quantum Materials Database: crystalline Er6IrPt3 at its relaxed geometry (PBE).

The value obtained for the theoretical density is 9.36 g/cm³. For the energy of formation, the calculation gives -0.050 eV per atom. The crystal system is tetragonal.

The space group is I4/mmm (No. 139) and the conventional cell measures 7.8313, 7.8313 and 10.3020 Å, with angles of 90.00, 90.00 and 90.00 degrees. The asymmetric unit holds Er at (0.0000, 0.0000, 0.2416), Er at (0.0000, 0.3233, 0.5000), Ir at (0.0000, 0.0000, 0.5000), Pt at (0.0000, 0.0000, 0.0000) and Pt at (0.0000, 0.5000, 0.2500).


[2]
Entry from the Open Quantum Materials Database: crystalline Er2Si4IrPt at its relaxed geometry (PBE).

The value obtained for the theoretical density is 9.67 g/cm³. The crystal system is orthorhombic. The calculation puts the total energy at -6.658 eV per atom.

The space group is Amm2 (No. 38) and the conventional cell measures 4.1984, 4.0630 and 16.7896 Å, with angles of 90.00, 90.00 and 90.00 degrees. The asymmetric unit holds Er at (0.0000, 0.0000, 0.0000), Er at (0.5000, 0.0000, 0.2072), Si at (0.0000, 0.0000, 0.3570), Si at (0.0000, 0.0000, 0.6355), Si at (0.5000, 0.0000, 0.5670), Si at (0.5000, 0.0000, 0.8517), Ir at (0.5000, 0.0000, 0.4270) and Pt at (0.0000, 0.0000, 0.7760).


Question: The lowest theoretical density belongs to which entry?
Answer: Er6IrPt3